# TmCr2SbO8

A relaxed structure of TmCr2SbO8 (PBE with a Hubbard U, the Alexandria database).

a b c (Å): 4.671 4.670 6.373
angles (deg): 90.00 90.00 88.59
Positions (direct):
O1 0.793 0.208 0.232
O2 0.793 0.208 0.768
O3 0.326 0.325 0.500
O4 0.674 0.675 0.500
O5 0.207 0.792 0.768
O6 0.207 0.792 0.232
O7 0.306 0.305 0.000
O8 0.694 0.695 0.000
Cr1 0.500 0.500 0.250
Cr2 0.500 0.500 0.750
Sb1 0.000 0.000 0.000
Tm1 0.000 0.000 0.500

Output
M_tot	4.0	μB per cell
total energy	-7.156	eV/atom
space-group type	No. 65